LiGeSe2 | PBE | relaxed

Unit cell a=3.8631 b=3.8631 c=23.3115 alpha=90.00 beta=90.00 gamma=120.00
Space group R-3m (No. 166, hexagonal axes)
Unique sites:
Li: 0.0000 0.0000 0.0000 (multiplicity 3)
Ge: 0.0000 0.0000 0.5000 (multiplicity 3)
Se: 0.0000 0.0000 0.1026 (multiplicity 6)

Properties
As for the crystal system: trigonal. Its density of states at the Fermi level is 7.9 states/eV per cell. For the calculated density, the calculation gives 3.9 Mg/m³. The calculation puts the formation energy without anion corrections at -0.3710 eV per atom. The size of the total moment is 0.0 μB per formula unit. The calculation puts the uncorrected energy at -3.75 eV/atom.